Entry from Alexandria: a geometry-optimized SmScBi structure (PBE-GGA).

Geometry as extended XYZ:
```
6
Lattice="5.058 -0.019 -0.518 -2.501 4.412 0.349 -1.698 -1.635 8.504" Properties=species:S:1:pos:R:3 pbc="T T T"
Bi 0.651 -0.136 6.424
Bi 0.209 2.894 1.911
Sc -1.793 1.325 7.462
Sc 2.653 1.433 0.873
Sm 0.540 2.826 5.204
Sm 0.320 -0.068 3.131
```

Summary:
Its total energy is -5.27 eV per atom. Its space-group type is R-3m (166). The value obtained for the size of the total moment is 0.5 μB per formula unit.


Entry from Alexandria: a geometry-optimized SmScBi3 structure (PBE-GGA).

Geometry as extended XYZ:
```
20
Lattice="6.684 0.000 0.000 0.000 6.465 0.000 0.000 0.000 13.710" Properties=species:S:1:pos:R:3 pbc="T T T"
Sm 5.013 3.145 9.344
Sm 1.671 3.320 4.366
Sm 5.013 6.378 4.366
Sm 1.671 0.087 9.344
Sc 3.342 1.616 1.362
Sc 0.000 4.849 12.348
Sc 3.342 4.849 12.348
Sc 0.000 1.616 1.362
Bi 0.000 1.616 6.804
Bi 3.342 4.849 6.906
Bi 0.000 4.849 6.906
Bi 3.342 1.616 6.804
Bi 1.671 0.850 12.683
Bi 5.013 5.616 1.027
Bi 1.671 4.082 1.027
Bi 5.013 2.383 12.683
Bi 1.671 3.246 10.330
Bi 5.013 3.219 3.380
Bi 1.671 0.013 3.380
Bi 5.013 6.452 10.330
```

Summary:
Its total energy is -5.13 eV per atom. Its space-group type is Pbcm (57). The value obtained for the size of the total moment is 0.0 μB per formula unit.


Entry from Alexandria: a geometry-optimized SmSc2Bi2 structure (PBE-GGA).

Geometry as extended XYZ:
```
10
Lattice="-1.959 -0.412 7.554 -0.469 -7.537 -2.009 5.630 2.071 -0.667" Properties=species:S:1:pos:R:3 pbc="T T T"
Sm 0.796 -6.339 -1.263
Sm 2.406 0.461 6.140
Sc 0.896 -3.765 4.307
Sc -0.778 -1.863 2.630
Sc 3.979 -4.015 2.248
Sc 2.306 -2.113 0.570
Bi 0.383 -4.365 1.387
Bi -0.274 -1.223 5.603
Bi 3.475 -4.654 -0.725
Bi 2.818 -1.513 3.491
```

Summary:
Its total energy is -5.44 eV per atom. Its space-group type is C2/c (15). The value obtained for the size of the total moment is 0.6 μB per formula unit.


no.,formation energy from the elements (meV/atom)
1,-298
2,-588
3,-409